Record 1
Crystalline Pr5Nd3As8 at its relaxed geometry, computed with PBE.

Lattice parameters (Å, degrees): 8.590 8.590 8.591 60.00 60.00 60.00
Atoms (fractional coordinates):
As 0.751 0.250 0.749
Pr 0.000 0.000 0.000
As 0.250 0.250 0.749
As 0.750 0.249 0.251
Nd 0.500 0.000 0.500
Pr 0.500 0.500 0.000
As 0.250 0.751 0.749
As 0.249 0.750 0.251
Nd 0.000 0.500 0.500
Nd 0.000 0.000 0.500
Pr 0.000 0.500 0.000
As 0.751 0.751 0.748
As 0.249 0.249 0.252
Pr 0.500 0.000 0.000
Pr 0.500 0.500 0.500
As 0.750 0.750 0.251

Computed properties:
For the total energy, the calculation gives -6.22 eV/atom. The formation energy from the elements is -1.505 eV/atom. The calculation puts the density of states at the Fermi level at 2.3 states/eV/cell.



Record 2
Crystalline Tb6NdDy3Tm2 at its relaxed geometry, computed with PBE.

Lattice parameters (Å, degrees): 6.149 6.149 11.779 94.97 94.97 119.95
Atoms (fractional coordinates):
Tm 0.667 0.333 0.000
Tb 0.250 0.250 0.750
Nd 0.000 0.000 0.000
Dy 0.500 0.500 0.500
Dy 0.833 0.167 0.500
Tb 0.582 0.916 0.749
Tm 0.333 0.667 0.000
Tb 0.750 0.750 0.250
Dy 0.167 0.833 0.500
Tb 0.916 0.582 0.749
Tb 0.418 0.084 0.251
Tb 0.084 0.418 0.251

Computed properties:
For the total energy, the calculation gives -4.59 eV/atom. The formation energy from the elements is 0.016 eV/atom. The calculation puts the density of states at the Fermi level at 15.2 states/eV/cell.



Record 3
Crystalline FeTc2Hg at its relaxed geometry, computed with PBE.

Lattice parameters (Å, degrees): 2.846 3.768 5.809 90.00 90.00 90.00
Site moments in Bohr magnetons follow the coordinates.
Atoms (fractional coordinates):
Hg 0.500 0.500 0.750  0.01
Tc 0.000 0.000 0.452  -0.04
Fe 0.500 0.500 0.250  2.14
Tc 0.000 0.000 0.048  -0.04

Computed properties:
For the total energy, the calculation gives -6.96 eV/atom. The formation energy from the elements is 0.413 eV/atom. The calculation puts the density of states at the Fermi level at 3.8 states/eV/cell.



Record 4
Crystalline ScVSe at its relaxed geometry, computed with PBE.

Lattice parameters (Å, degrees): 3.558 3.558 9.038 90.00 90.00 90.00
Atoms (fractional coordinates):
Se 0.500 0.000 0.350
V 0.000 0.500 0.947
V 0.500 0.000 0.053
Sc 0.500 0.000 0.743
Sc 0.000 0.500 0.257
Se 0.000 0.500 0.650

Computed properties:
For the total energy, the calculation gives -7.14 eV/atom. As for the uncorrected formation energy: -240 kJ/mol of formula units. The calculation puts the density of states at the Fermi level at 3.1 states/eV/cell.



Record 5
Crystalline Ti2Fe21B6 at its relaxed geometry, computed with PBE.

Lattice parameters (Å, degrees): 7.519 7.519 7.519 60.00 60.00 60.00
Site moments in Bohr magnetons follow the coordinates.
Atoms (fractional coordinates):
B 0.725 0.275 0.275  -0.15
Fe 0.617 0.149 0.617  1.81
Fe 0.000 0.000 0.000  2.66
Fe 0.000 0.342 0.000  2.18
Fe 0.658 0.342 0.000  2.18
Fe 0.658 0.000 0.000  2.18
Fe 0.000 0.658 0.342  2.18
Ti 0.750 0.750 0.750  -0.78
Fe 0.383 0.851 0.383  1.81
Fe 0.149 0.617 0.617  1.81
B 0.725 0.725 0.275  -0.15
Fe 0.617 0.617 0.617  1.81
Fe 0.000 0.000 0.658  2.18
Fe 0.342 0.000 0.658  2.18
Fe 0.658 0.000 0.342  2.18
Fe 0.000 0.658 0.000  2.18
B 0.275 0.725 0.275  -0.15
Fe 0.000 0.342 0.658  2.18
Fe 0.617 0.617 0.149  1.81
Fe 0.342 0.000 0.000  2.18
Fe 0.342 0.658 0.000  2.18
B 0.725 0.275 0.725  -0.15
Fe 0.383 0.383 0.851  1.81
Fe 0.383 0.383 0.383  1.81
Ti 0.250 0.250 0.250  -0.78
B 0.275 0.275 0.725  -0.15
B 0.275 0.725 0.725  -0.15
Fe 0.851 0.383 0.383  1.81
Fe 0.000 0.000 0.342  2.18

Computed properties:
For the total energy, the calculation gives -8.33 eV/atom. The formation energy from the elements is -0.279 eV/atom. The calculation puts the density of states at the Fermi level at 21.2 states/eV/cell.



Record 6
Crystalline ZrTlMo at its relaxed geometry, computed with PBE.

Lattice parameters (Å, degrees): 5.426 5.425 5.425 141.67 141.68 55.32
Atoms (fractional coordinates):
Mo 0.009 0.009 0.000
Tl 0.339 0.339 0.000
Zr 0.653 0.653 0.000

Computed properties:
For the total energy, the calculation gives -7.04 eV/atom. As for the offset from the most stable computed form: 0 meV per atom. The formation energy from the elements is 0.209 eV/atom. The calculation puts the density of states at the Fermi level at 3.7 states/eV/cell.